# DyEr2Lu3Bi2Os

An optimized crystal structure of DyEr2Lu3Bi2Os (PBE-GGA, OQMD).

a = 4.225 Å, b = 8.162 Å, c = 8.162 Å
α = 119.93°, β = 90.00°, γ = 90.00°
Fractional positions:
Dy1 0.000 0.000 0.000
Er1 0.000 0.385 0.769
Er2 0.000 0.769 0.385
Lu1 0.500 0.155 0.385
Lu2 0.500 0.385 0.155
Lu3 0.500 0.617 0.617
Bi1 0.500 0.052 0.718
Bi2 0.500 0.718 0.052
Os1 0.000 0.388 0.388

Output
The calculation puts the total energy at -5.761 eV/atom.

***

# HoErAsBr2

An optimized crystal structure of HoErAsBr2 (PBE-GGA, OQMD).

a = 4.027 Å, b = 4.027 Å, c = 9.939 Å
α = 90.00°, β = 90.00°, γ = 120.00°
Fractional positions:
Ho1 0.000 0.000 0.000
Er1 0.333 0.667 0.314
As1 0.667 0.333 0.158
Br1 0.000 0.000 0.493
Br2 0.333 0.667 0.820

Output
The calculation puts the total energy at -5.102 eV/atom.

***

# HfZr2Ni4As4

An optimized crystal structure of HfZr2Ni4As4 (PBE-GGA, OQMD).

a = 6.442 Å, b = 3.823 Å, c = 7.270 Å
α = 90.00°, β = 90.32°, γ = 90.00°
Fractional positions:
Hf1 0.000 0.000 0.000
Zr1 0.052 0.500 0.625
Zr2 0.510 0.000 0.136
Ni1 0.168 0.500 0.252
Ni2 0.386 0.000 0.756
Ni3 0.681 0.500 0.872
Ni4 0.911 0.000 0.372
As1 0.294 0.000 0.440
As2 0.296 0.500 0.937
As3 0.753 0.000 0.683
As4 0.792 0.500 0.210

Output
The value obtained for the offset from the most stable computed form is 0.2 kJ/mol of atoms. The calculation puts the total energy at -6.953 eV/atom.

***

# ZrCuAgAs

An optimized crystal structure of ZrCuAgAs (PBE-GGA, OQMD).

a = 4.634 Å, b = 4.634 Å, c = 4.634 Å
α = 60.00°, β = 60.00°, γ = 60.00°
Fractional positions:
Zr1 0.000 0.000 0.000
Cu1 0.500 0.500 0.500
Ag1 0.750 0.750 0.750
As1 0.250 0.250 0.250

Output
The value obtained for the offset from the most stable computed form is 0.0 kJ/mol of atoms. The calculation puts the total energy at -5.025 eV/atom.

***

# RbCuPtSe3

An optimized crystal structure of RbCuPtSe3 (PBE-GGA, OQMD).

a = 7.652 Å, b = 7.652 Å, c = 10.389 Å
α = 90.00°, β = 90.00°, γ = 150.68°
Fractional positions:
Rb1 0.249 0.751 0.750
Rb2 0.751 0.249 0.250
Cu1 0.456 0.544 0.250
Cu2 0.544 0.456 0.750
Pt1 0.000 0.000 0.000
Pt2 0.000 0.000 0.500
Se1 0.053 0.947 0.250
Se2 0.391 0.609 0.036
Se3 0.391 0.609 0.464
Se4 0.609 0.391 0.536
Se5 0.609 0.391 0.964
Se6 0.947 0.053 0.750

Output
The value obtained for the offset from the most stable computed form is 5.4 kJ/mol of atoms. The calculation puts the total energy at -3.999 eV/atom.

***

# PaTaBi

An optimized crystal structure of PaTaBi (PBE-GGA, OQMD).

a = 4.851 Å, b = 4.851 Å, c = 4.851 Å
α = 60.00°, β = 60.00°, γ = 60.00°
Fractional positions:
Pa1 0.000 0.000 0.000
Ta1 0.250 0.250 0.250
Bi1 0.500 0.500 0.500

Output
The value obtained for the offset from the most stable computed form is 0.0 kJ/mol of atoms. The calculation puts the total energy at -7.843 eV/atom.

***

# CsZr3

An optimized crystal structure of CsZr3 (PBE-GGA, OQMD).

a = 7.023 Å, b = 7.023 Å, c = 5.436 Å
α = 90.00°, β = 90.00°, γ = 120.00°
Fractional positions:
Cs1 0.333 0.667 0.250
Cs2 0.667 0.333 0.750
Zr1 0.143 0.286 0.750
Zr2 0.143 0.857 0.750
Zr3 0.286 0.143 0.250
Zr4 0.714 0.857 0.750
Zr5 0.857 0.143 0.250
Zr6 0.857 0.714 0.250

Output
The calculation puts the total energy at -5.619 eV/atom.

***

# Y3Pt4

An optimized crystal structure of Y3Pt4 (PBE-GGA, OQMD).

a = 7.877 Å, b = 7.877 Å, c = 7.877 Å
α = 114.32°, β = 114.32°, γ = 114.32°
Fractional positions:
Y1 0.027 0.280 0.405
Y2 0.280 0.405 0.027
Y3 0.405 0.027 0.280
Y4 0.595 0.973 0.720
Y5 0.720 0.595 0.973
Y6 0.973 0.720 0.595
Pt1 0.000 0.000 0.000
Pt2 0.061 0.553 0.227
Pt3 0.227 0.061 0.553
Pt4 0.447 0.773 0.939
Pt5 0.500 0.500 0.500
Pt6 0.553 0.227 0.061
Pt7 0.773 0.939 0.447
Pt8 0.939 0.447 0.773

Output
The calculation puts the total energy at -7.436 eV/atom.